(1)
Computed, not measured: a relaxed Pm4Ho6Er19 crystal at the PBE level of DFT.

Summary:
- calculated formation energy (eV per atom) = 0.3961
- total magnetization (μB/f.u.) = 0.02
- uncorrected energy (eV for the cell shown) = -121.7
- calculated density (g cm⁻³) = 8.29

a = 10.731 Å, b = 10.731 Å, c = 10.731 Å
α = 109.47°, β = 109.47°, γ = 109.47°
Positions (direct):
Pm 0.000 0.000 0.358
Pm 0.000 0.358 0.000
Pm 0.358 0.000 0.000
Pm 0.642 0.642 0.642
Ho 0.127 0.500 0.627
Ho 0.373 0.873 0.500
Ho 0.500 0.373 0.873
Ho 0.500 0.627 0.127
Ho 0.627 0.127 0.500
Ho 0.873 0.500 0.373
Er 0.000 0.000 0.000
Er 0.000 0.262 0.262
Er 0.000 0.738 0.738
Er 0.012 0.213 0.674
Er 0.201 0.988 0.661
Er 0.213 0.674 0.012
Er 0.262 0.000 0.262
Er 0.262 0.262 0.000
Er 0.326 0.540 0.339
Er 0.339 0.326 0.540
Er 0.460 0.787 0.799
Er 0.540 0.339 0.326
Er 0.661 0.201 0.988
Er 0.674 0.012 0.213
Er 0.738 0.000 0.738
Er 0.738 0.738 0.000
Er 0.787 0.799 0.460
Er 0.799 0.460 0.787
Er 0.988 0.661 0.201

(2)
Computed, not measured: a relaxed Nd5Au6 crystal at the PBE level of DFT.

Summary:
- calculated formation energy (eV per atom) = -0.6842
- total magnetization (μB/f.u.) = 0.00
- uncorrected energy (eV for the cell shown) = -51.0
- calculated density (g cm⁻³) = 10.49

a = 8.996 Å, b = 8.996 Å, c = 8.996 Å
α = 146.75°, β = 130.37°, γ = 61.06°
Positions (direct):
Nd 0.000 0.000 0.000
Nd 0.174 0.674 0.500
Nd 0.358 0.358 0.000
Nd 0.642 0.642 0.000
Nd 0.826 0.326 0.500
Au 0.046 0.819 0.227
Au 0.215 0.500 0.715
Au 0.407 0.181 0.227
Au 0.593 0.819 0.773
Au 0.785 0.500 0.285
Au 0.954 0.181 0.773

(3)
Computed, not measured: a relaxed CsRb8HgO2 crystal at the PBE level of DFT.

Summary:
- raw formation energy (eV per atom) = -0.44
- total magnetization (μB/f.u.) = 0.00
- uncorrected energy (eV for the cell shown) = -24.1
- calculated density (g cm⁻³) = 1.93

a = 9.263 Å, b = 9.263 Å, c = 12.502 Å
α = 101.27°, β = 101.27°, γ = 59.62°
Positions (direct):
Cs 0.000 0.000 0.000
Rb 0.129 0.129 0.673
Rb 0.134 0.574 0.677
Rb 0.326 0.326 0.964
Rb 0.426 0.866 0.323
Rb 0.574 0.134 0.677
Rb 0.674 0.674 0.036
Rb 0.866 0.426 0.323
Rb 0.871 0.871 0.327
Hg 0.500 0.500 0.500
O 0.290 0.290 0.754
O 0.710 0.710 0.246

(4)
Computed, not measured: a relaxed Ca2ZnGa2 crystal at the PBE level of DFT.

Summary:
- calculated formation energy (eV per atom) = -0.4346
- total magnetization (μB/f.u.) = 0.00
- uncorrected energy (eV for the cell shown) = -27.0
- calculated density (g cm⁻³) = 4.04

a = 5.908 Å, b = 5.908 Å, c = 10.877 Å
α = 115.88°, β = 115.88°, γ = 44.41°
Positions (direct):
Ca 0.012 0.012 0.332
Ca 0.191 0.191 0.107
Ca 0.809 0.809 0.893
Ca 0.988 0.988 0.668
Zn 0.276 0.276 0.650
Zn 0.724 0.724 0.350
Ga 0.360 0.360 0.439
Ga 0.485 0.485 0.115
Ga 0.515 0.515 0.885
Ga 0.640 0.640 0.561

(5)
Computed, not measured: a relaxed NiBrCl2 crystal at the PBE level of DFT.

Summary:
- raw formation energy (eV per atom) = -0.34
- total magnetization (μB/f.u.) = 0.39
- uncorrected energy (eV for the cell shown) = -12.5
- calculated density (g cm⁻³) = 3.45

a = 5.243 Å, b = 3.241 Å, c = 6.483 Å
α = 90.00°, β = 113.76°, γ = 90.00°
Positions (direct):
Ni 0.000 0.000 0.000
Br 0.500 0.000 0.000
Cl 0.130 0.500 0.261
Cl 0.870 0.500 0.739

(6)
Computed, not measured: a relaxed Sr2TmHfAs4 crystal at the PBE level of DFT.

Summary:
- calculated formation energy (eV per atom) = -1.1558
- total magnetization (μB/f.u.) = 0.00
- uncorrected energy (eV for the cell shown) = -45.6
- calculated density (g cm⁻³) = 6.54

a = 7.149 Å, b = 4.107 Å, c = 7.495 Å
α = 90.00°, β = 108.32°, γ = 90.00°
Positions (direct):
Sr 0.000 0.000 0.000
Sr 0.500 0.500 0.000
Tm 0.000 0.500 0.500
Hf 0.500 0.000 0.500
As 0.250 0.000 0.716
As 0.273 0.500 0.289
As 0.727 0.500 0.711
As 0.750 0.000 0.284

(7)
Computed, not measured: a relaxed LaDy2Er5Sc crystal at the PBE level of DFT.

Summary:
- calculated formation energy (eV per atom) = 0.1814
- total magnetization (μB/f.u.) = 0.00
- uncorrected energy (eV for the cell shown) = -83.3
- calculated density (g cm⁻³) = 7.95

a = 10.185 Å, b = 10.185 Å, c = 10.325 Å
α = 90.00°, β = 90.00°, γ = 148.34°
Positions (direct):
La 0.085 0.915 0.500
La 0.915 0.085 0.000
Dy 0.386 0.614 0.781
Dy 0.389 0.611 0.363
Dy 0.611 0.389 0.863
Dy 0.614 0.386 0.281
Er 0.019 0.981 0.785
Er 0.124 0.876 0.068
Er 0.203 0.797 0.755
Er 0.224 0.776 0.371
Er 0.482 0.518 0.070
Er 0.518 0.482 0.570
Er 0.776 0.224 0.871
Er 0.797 0.203 0.255
Er 0.876 0.124 0.568
Er 0.981 0.019 0.285
Sc 0.303 0.697 0.062
Sc 0.697 0.303 0.562

(8)
Computed, not measured: a relaxed Tb3Er3PuSe8 crystal at the PBE level of DFT.

Summary:
- raw formation energy (eV per atom) = -1.77
- total magnetization (μB/f.u.) = 6.25
- uncorrected energy (eV for the cell shown) = -96.4
- calculated density (g cm⁻³) = 8.13

a = 8.124 Å, b = 8.124 Å, c = 8.124 Å
α = 59.94°, β = 59.94°, γ = 59.94°
Positions (direct):
Tb 0.000 0.500 0.500
Tb 0.500 0.000 0.500
Tb 0.500 0.500 0.000
Er 0.000 0.000 0.500
Er 0.000 0.500 0.000
Er 0.500 0.000 0.000
Pu 0.500 0.500 0.500
Se 0.239 0.757 0.757
Se 0.243 0.243 0.761
Se 0.243 0.761 0.243
Se 0.248 0.248 0.248
Se 0.752 0.752 0.752
Se 0.757 0.239 0.757
Se 0.757 0.757 0.239
Se 0.761 0.243 0.243

(9)
Computed, not measured: a relaxed NiTe4Mo crystal at the PBE level of DFT.

Summary:
- raw formation energy (eV per atom) = -0.09
- total magnetization (μB/f.u.) = 0.00
- uncorrected energy (eV for the cell shown) = -59.4
- calculated density (g cm⁻³) = 7.71

a = 8.653 Å, b = 8.653 Å, c = 5.873 Å
α = 108.90°, β = 108.90°, γ = 120.62°
Positions (direct):
Ni 0.192 0.808 0.750
Ni 0.808 0.192 0.250
Te 0.124 0.517 0.296
Te 0.148 0.269 0.644
Te 0.269 0.148 0.144
Te 0.483 0.876 0.204
Te 0.517 0.124 0.796
Te 0.731 0.852 0.856
Te 0.852 0.731 0.356
Te 0.876 0.483 0.704
Mo 0.450 0.550 0.250
Mo 0.550 0.450 0.750

(10)
Computed, not measured: a relaxed Hf2SiS crystal at the PBE level of DFT.

Summary:
- raw formation energy (eV per atom) = -0.93
- total magnetization (μB/f.u.) = 0.00
- uncorrected energy (eV for the cell shown) = -33.2
- calculated density (g cm⁻³) = 9.31

a = 6.851 Å, b = 6.851 Å, c = 6.851 Å
α = 30.71°, β = 30.71°, γ = 30.71°
Positions (direct):
Hf 0.000 0.000 0.000
Hf 0.178 0.178 0.178
Si 0.589 0.589 0.589
S 0.421 0.421 0.421